[1]
Pm3Sm2Y6Er | GGA-PBE | relaxed

## Properties
Crystal system: monoclinic
Energy in Ry per atom: -0.410

Unit cell a=6.231 b=6.231 c=11.868 alpha=95.00 beta=95.00 gamma=119.97
Fractional positions:
Pm1 0.000 0.000 0.000
Pm2 0.333 0.667 0.000
Pm3 0.667 0.333 0.000
Sm1 0.166 0.834 0.500
Sm2 0.834 0.166 0.500
Y1 0.084 0.417 0.251
Y2 0.250 0.250 0.749
Y3 0.417 0.084 0.251
Y4 0.583 0.916 0.749
Y5 0.750 0.750 0.251
Y6 0.916 0.583 0.749
Er1 0.500 0.500 0.500

[2]
Pm5SmY2Er | GGA-PBE | relaxed

## Properties
Crystal system: orthorhombic
Energy in Ry per atom: -0.365

Unit cell a=10.563 b=10.563 c=10.711 alpha=90.00 beta=90.00 gamma=148.87
Fractional positions:
Pm1 0.018 0.982 0.500
Pm2 0.282 0.718 0.786
Pm3 0.297 0.703 0.182
Pm4 0.393 0.607 0.502
Pm5 0.480 0.520 0.221
Pm6 0.520 0.480 0.721
Pm7 0.607 0.393 0.002
Pm8 0.703 0.297 0.682
Pm9 0.718 0.282 0.286
Pm10 0.982 0.018 0.000
Sm1 0.202 0.798 0.487
Sm2 0.798 0.202 0.987
Y1 0.110 0.890 0.215
Y2 0.116 0.884 0.796
Y3 0.884 0.116 0.296
Y4 0.890 0.110 0.715
Er1 0.410 0.590 0.938
Er2 0.590 0.410 0.438

[3]
Pm2Sm3Y6Er | GGA-PBE | relaxed

## Properties
Crystal system: monoclinic
Energy in Ry per atom: -0.409

Unit cell a=6.226 b=6.226 c=11.868 alpha=95.00 beta=95.00 gamma=119.97
Fractional positions:
Pm1 0.166 0.834 0.000
Pm2 0.834 0.166 0.000
Sm1 0.000 0.000 0.500
Sm2 0.333 0.667 0.500
Sm3 0.667 0.333 0.500
Y1 0.084 0.417 0.751
Y2 0.251 0.251 0.250
Y3 0.417 0.084 0.751
Y4 0.583 0.916 0.249
Y5 0.749 0.749 0.750
Y6 0.916 0.583 0.249
Er1 0.500 0.500 0.000

[4]
PmSm2Y4Er2 | GGA-PBE | relaxed

## Properties
Crystal system: monoclinic
Energy in Ry per atom: -0.401

Unit cell a=9.538 b=9.538 c=9.596 alpha=115.22 beta=115.22 gamma=21.83
Fractional positions:
Pm1 0.000 0.000 0.000
Sm1 0.148 0.148 0.668
Sm2 0.852 0.852 0.332
Y1 0.185 0.185 0.333
Y2 0.481 0.481 0.666
Y3 0.519 0.519 0.334
Y4 0.815 0.815 0.667
Er1 0.332 0.332 0.999
Er2 0.668 0.668 0.001

no.,total magnetization (μB per formula unit),energy of formation from the pure elements (meV/atom)
1,0.00,14
2,0.01,142
3,0.00,14
4,0.00,4